Model i:
First-principles (PBE) data for a relaxed HgTePb2 crystal, as listed in Alexandria.

```
data_HgTePb2
_space_group_name_H-M_alt 'I m m 2'
_space_group_IT_number 44
_cell_length_a 4.4657
_cell_length_b 4.7603
_cell_length_c 11.7845
_cell_angle_alpha 90.00
_cell_angle_beta 90.00
_cell_angle_gamma 90.00
loop_
_space_group_symop_operation_xyz
'x,y,z'
'-x,-y,z'
'-x,y,z'
'x,-y,z'
'x+1/2,y+1/2,z+1/2'
'-x+1/2,-y+1/2,z+1/2'
'-x+1/2,y+1/2,z+1/2'
'x+1/2,-y+1/2,z+1/2'
loop_
_atom_site_label
_atom_site_fract_x
_atom_site_fract_y
_atom_site_fract_z
Hg1 0.0000 0.0000 0.0000
Te1 0.0000 0.5000 0.2485
Pb1 0.0000 0.0000 0.5395
Pb2 0.0000 0.5000 0.7814
```

=====

Model ii:
First-principles (PBE) data for a relaxed HgTePb2 crystal, as listed in Alexandria.

```
data_HgTePb2
_space_group_name_H-M_alt 'P 1 2/m 1'
_space_group_IT_number 10
_cell_length_a 3.3091
_cell_length_b 5.3400
_cell_length_c 7.1241
_cell_angle_alpha 90.00
_cell_angle_beta 95.93
_cell_angle_gamma 90.00
loop_
_space_group_symop_operation_xyz
'x,y,z'
'-x,-y,-z'
'-x,y,-z'
'x,-y,z'
loop_
_atom_site_label
_atom_site_fract_x
_atom_site_fract_y
_atom_site_fract_z
Hg1 0.0000 0.0000 0.0000
Te1 0.5000 0.0000 0.5000
Pb1 0.3816 0.5000 0.2261
```

=====

Model iii:
First-principles (PBE) data for a relaxed HgTePb2 crystal, as listed in Alexandria.

```
data_HgTePb2
_space_group_name_H-M_alt 'C 1 m 1'
_space_group_IT_number 8
_cell_length_a 12.3401
_cell_length_b 4.3062
_cell_length_c 4.9305
_cell_angle_alpha 90.00
_cell_angle_beta 103.73
_cell_angle_gamma 90.00
loop_
_space_group_symop_operation_xyz
'x,y,z'
'x,-y,z'
'x+1/2,y+1/2,z'
'x+1/2,-y+1/2,z'
loop_
_atom_site_label
_atom_site_fract_x
_atom_site_fract_y
_atom_site_fract_z
Hg1 0.0000 0.0000 0.0000
Te1 0.2431 0.5000 0.4445
Pb1 0.2578 0.0000 0.9200
Pb2 0.4967 0.0000 0.4867
```

=====

Model iv:
First-principles (PBE) data for a relaxed HgTePb2 crystal, as listed in Alexandria.

```
data_HgTePb2
_space_group_name_H-M_alt 'C m m 2'
_space_group_IT_number 35
_cell_length_a 3.9401
_cell_length_b 5.3687
_cell_length_c 11.4420
_cell_angle_alpha 90.00
_cell_angle_beta 90.00
_cell_angle_gamma 90.00
loop_
_space_group_symop_operation_xyz
'x,y,z'
'-x,-y,z'
'-x,y,z'
'x,-y,z'
'x+1/2,y+1/2,z'
'-x+1/2,-y+1/2,z'
'-x+1/2,y+1/2,z'
'x+1/2,-y+1/2,z'
loop_
_atom_site_label
_atom_site_fract_x
_atom_site_fract_y
_atom_site_fract_z
Hg1 0.0000 0.0000 0.0000
Te1 0.0000 0.5000 0.7514
Pb1 0.0000 0.0000 0.5014
Pb2 0.0000 0.5000 0.2479
```

=====

Which is the most stable structure? model iii is the most stable.